Entry 1:
The following is a meta-GGA SCAN calculation of a crystal of KCoSi2S relaxed with PBEsol, from the Alexandria database.

VASP energy: -49.80 eV for the cell shown
Symmetry: P4/mmm (123)
Raw formation energy: 1099 meV per atom
Crystal system: tetragonal
Magnetization: 2.1 μB/cell

a b c (Å): 4.605 4.605 5.312
angles (deg): 90.00 90.00 90.00
Positions (direct):
S 0.000 0.000 0.000
Si 0.500 0.000 0.000
Si 0.000 0.500 0.000
Co 0.500 0.500 0.500
K 0.000 0.000 0.500


Entry 2:
The following is a meta-GGA SCAN calculation of a crystal of KCoSbTe2 relaxed with PBEsol, from the Alexandria database.

VASP energy: -137.81 eV for the cell shown
Symmetry: P4/mmm (123)
Raw formation energy: -82 meV per atom
Crystal system: tetragonal
Magnetization: 1.4 μB/cell

a b c (Å): 4.721 5.346 5.346
angles (deg): 90.00 90.00 90.00
Positions (direct):
Te 0.000 0.000 0.500
Te 0.000 0.500 0.000
Co 0.000 0.000 0.000
Sb 0.500 0.000 0.000
K 0.500 0.500 0.500


Entry 3:
The following is a meta-GGA SCAN calculation of a crystal of KSc2Co relaxed with PBEsol, from the Alexandria database.

VASP energy: -53.51 eV for the cell shown
Symmetry: R-3m (166)
Crystal system: trigonal
Formation enthalpy at 0 K: 149 meV/atom
Relative energy among the computed polymorphs: 0.000 eV per atom
Magnetization: 0.0 μB/cell

a b c (Å): 3.707 3.707 9.528
angles (deg): 78.78 78.78 60.00
Positions (direct):
Sc 0.211 0.211 0.367
Sc 0.789 0.789 0.633
K 0.000 0.000 0.000
Co 0.500 0.500 0.500


Entry 4:
The following is a meta-GGA SCAN calculation of a crystal of KSc2Co relaxed with PBEsol, from the Alexandria database.

VASP energy: -53.37 eV for the cell shown
Symmetry: R-3m (166)
Crystal system: trigonal
Formation enthalpy at 0 K: 185 meV/atom
Relative energy among the computed polymorphs: 0.036 eV per atom
Magnetization: 0.1 μB/cell

a b c (Å): 3.637 3.637 10.223
angles (deg): 79.75 79.75 60.00
Positions (direct):
Sc 0.876 0.876 0.372
Sc 0.124 0.124 0.628
Co 0.500 0.500 0.500
K 0.000 0.000 0.000


Entry 5:
The following is a meta-GGA SCAN calculation of a crystal of KScCo2 relaxed with PBEsol, from the Alexandria database.

VASP energy: -53.43 eV for the cell shown
Symmetry: Fm-3m (225)
Crystal system: cubic
Formation enthalpy at 0 K: 935 meV/atom
Magnetization: 2.3 μB/cell

a b c (Å): 4.632 4.632 4.632
angles (deg): 60.00 60.00 60.00
Positions (direct):
Co 0.250 0.250 0.250
Co 0.750 0.750 0.750
K 0.000 0.000 0.000
Sc 0.500 0.500 0.500


Entry 6:
The following is a meta-GGA SCAN calculation of a crystal of KSc2Co relaxed with PBEsol, from the Alexandria database.

VASP energy: -50.71 eV for the cell shown
Symmetry: R-3m (166)
Crystal system: trigonal
Formation enthalpy at 0 K: 848 meV/atom
Relative energy among the computed polymorphs: 0.699 eV per atom
Magnetization: 0.6 μB/cell

a b c (Å): 3.146 3.146 11.202
angles (deg): 81.93 81.93 60.00
Positions (direct):
Co 0.000 0.000 0.000
Sc 0.934 0.934 0.199
Sc 0.066 0.066 0.801
K 0.500 0.500 0.500


Entry 7:
The following is a meta-GGA SCAN calculation of a crystal of K2ScZnCo relaxed with PBEsol, from the Alexandria database.

VASP energy: -57.47 eV for the cell shown
Symmetry: P4/mmm (123)
Crystal system: tetragonal
Formation enthalpy at 0 K: 849 meV/atom
Magnetization: 0.0 μB/cell

a b c (Å): 4.467 6.127 6.127
angles (deg): 90.00 90.00 90.00
Positions (direct):
K 0.000 0.000 0.500
K 0.000 0.500 0.000
Zn 0.500 0.500 0.500
Co 0.000 0.000 0.000
Sc 0.500 0.000 0.000


Entry 8:
The following is a meta-GGA SCAN calculation of a crystal of KCoSe2 relaxed with PBEsol, from the Alexandria database.

VASP energy: -136.18 eV for the cell shown
Symmetry: I-42d (122)
Raw formation energy: -576 meV per atom
Crystal system: tetragonal
Magnetization: 0.0 μB/cell

a b c (Å): 6.266 6.266 6.266
angles (deg): 108.15 110.13 110.13
Positions (direct):
K 0.000 0.500 0.500
K 0.500 0.250 0.750
Co 0.500 0.750 0.250
Co 0.000 0.000 0.000
Se 0.616 0.875 0.991
Se 0.116 0.741 0.125
Se 0.884 0.009 0.625
Se 0.384 0.375 0.259